[1]
The following is a DFT calculation (GGA-PBE) of a relaxed BaNaDyBr6 crystal.

Structure (extended XYZ):
```
18
Lattice="-4.167 6.181 0.996 -0.342 -5.611 4.996 10.317 5.793 7.212" Properties=species:S:1:pos:R:3 pbc="T T T"
Na 0.962 -0.232 5.465
Br 8.640 1.486 9.516
Br 1.066 6.038 3.384
Br -1.548 1.248 4.766
Br 3.681 3.925 8.446
Br -0.164 2.946 1.422
Dy 6.121 2.664 9.071
Br 5.972 3.417 11.781
Br -2.832 4.876 3.688
Br 6.332 1.718 6.427
Br 2.127 2.437 4.758
Br 7.356 5.115 8.438
Na 4.846 6.595 7.738
Br 4.742 0.325 9.820
Ba 5.158 2.896 3.606
Dy -0.313 3.698 4.132
Br -0.524 4.645 6.777
Ba 0.000 0.000 0.000
```

Output
* ΔE_f (raw): -1.9033 eV/atom
* total magnetization: 0.0 μB/cell
* symmetry: P-31c

[2]
The following is a DFT calculation (GGA-PBE) of a relaxed NpPH crystal.

Structure (extended XYZ):
```
3
Lattice="3.664 0.000 0.000 0.000 3.767 0.000 0.000 -1.884 3.263" Properties=species:S:1:pos:R:3 pbc="T T T"
H 0.611 1.884 1.088
Np 0.611 0.000 0.000
P 2.443 0.000 2.175
```

Output
* total magnetization: 3.0 μB/cell
* symmetry: P-6m2
* excess energy over the best structure of this formula in the dataset: 0.09 eV per formula unit

[3]
The following is a DFT calculation (GGA-PBE) of a relaxed BaSi2Se crystal.

Structure (extended XYZ):
```
8
Lattice="-4.686 -5.712 -3.351 5.428 -5.664 2.065 -1.206 -6.124 2.304" Properties=species:S:1:pos:R:3 pbc="T T T"
Si -0.742 -14.039 0.417
Ba 0.000 0.000 0.000
Si -0.139 -9.367 1.431
Ba -2.760 -8.762 -0.845
Si -2.131 -5.296 -0.960
Se 2.297 -8.738 1.863
Si 2.085 -6.298 1.147
Se 0.371 -5.688 -0.643
```

Output
* ΔE_f (raw): 0.0992 eV/atom
* total magnetization: 0.0 μB/cell
* symmetry: I-42d
* excess energy over the best structure of this formula in the dataset: 2.25 eV per formula unit